Compound: ThTlIn2Te4
Source: Alexandria
Functional: PBE
Structure: relaxed

a = 4.4214 Å, b = 8.0627 Å, c = 8.4500 Å
α = 72.23°, β = 90.00°, γ = 90.00°
Fractional coordinates of all 8 atoms:
Tl1 0.5000 0.5000 0.0000
Te1 0.0000 0.7567 0.7160
Te2 0.0000 0.2433 0.2840
Te3 0.5000 0.7375 0.2764
Te4 0.5000 0.2625 0.7236
Th1 0.0000 0.5000 0.5000
In1 0.0000 0.0000 0.0000
In2 0.5000 0.0000 0.5000

Output
- uncorrected formation energy (meV/atom) = -595.3
- crystal system = monoclinic

=====

Compound: CePuBi
Source: Alexandria
Functional: PBE
Structure: relaxed

a = 5.9741 Å, b = 5.5518 Å, c = 6.5282 Å
α = 103.84°, β = 90.00°, γ = 122.55°
Each line ends with the local moment (μB).
Fractional coordinates of all 6 atoms:
Bi1 0.3073 0.1146 0.2290  0.08
Bi2 0.6927 0.8854 0.7710  0.08
Ce1 0.3308 0.1616 0.7368  -0.88
Ce2 0.6692 0.8384 0.2632  -0.88
Pu1 0.9548 0.4097 0.2375  -5.59
Pu2 0.0452 0.5903 0.7625  -5.59

Output
- energy relative to the lowest polymorph listed for this composition (meV per atom) = 53
- crystal system = monoclinic
- DFT formation energy (eV per atom) = -0.361

=====

Compound: K4Pr3TaS8
Source: Alexandria
Functional: PBE
Structure: relaxed

a = 8.1492 Å, b = 8.7889 Å, c = 8.1492 Å
α = 117.62°, β = 120.00°, γ = 90.00°
Each line ends with the local moment (μB).
Fractional coordinates of all 16 atoms:
K1 0.5000 0.0000 0.5000  0.00
K2 0.0000 0.0000 0.0000  0.00
K3 0.0000 0.0000 0.5000  0.00
K4 0.5000 0.0000 0.0000  0.00
Ta1 0.0000 0.5000 0.0000  0.85
S1 0.7389 0.7167 0.4778  0.00
S2 0.2611 0.2833 0.5222  0.00
S3 0.2353 0.2996 0.0174  0.00
S4 0.7821 0.2996 0.0174  0.00
S5 0.7821 0.2995 0.5642  0.00
S6 0.2179 0.7005 0.4358  0.00
S7 0.2179 0.7004 0.9826  0.00
S8 0.7647 0.7004 0.9826  0.00
Pr1 0.5000 0.5000 0.5000  0.04
Pr2 0.0000 0.5000 0.5000  0.04
Pr3 0.5000 0.5000 0.0000  0.04

Output
- uncorrected formation energy (meV/atom) = -1557.8
- crystal system = trigonal

=====

Compound: PuAlGa4
Source: Alexandria
Functional: PBE
Structure: relaxed

a = 5.1216 Å, b = 5.1216 Å, c = 10.7951 Å
α = 103.72°, β = 103.72°, γ = 90.00°
Each line ends with the local moment (μB).
Fractional coordinates of all 12 atoms:
Ga1 0.1438 0.3883 0.2875  0.00
Ga2 0.1438 0.8992 0.2875  0.00
Ga3 0.1008 0.8562 0.7125  0.00
Ga4 0.6062 0.8617 0.2125  0.00
Ga5 0.6062 0.3508 0.2125  0.00
Ga6 0.1383 0.3938 0.7875  0.00
Ga7 0.6117 0.8562 0.7125  0.00
Ga8 0.6492 0.3938 0.7875  0.00
Pu1 0.0000 0.0000 0.0000  5.45
Pu2 0.7500 0.2500 0.5000  5.45
Al1 0.5000 0.5000 0.0000  -0.01
Al2 0.2500 0.7500 0.5000  -0.01

Output
- energy relative to the lowest polymorph listed for this composition (meV per atom) = 235
- crystal system = tetragonal
- DFT formation energy (eV per atom) = 0.047

=====

Compound: RbFeBr3
Source: Alexandria
Functional: PBE
Structure: relaxed

a = 5.6853 Å, b = 5.6853 Å, c = 13.3917 Å
α = 77.74°, β = 77.74°, γ = 90.00°
Each line ends with the local moment (μB).
Fractional coordinates of all 10 atoms:
Br1 0.1175 0.8671 0.7651  0.02
Br2 0.3015 0.3015 0.3970  0.03
Br3 0.6322 0.8825 0.2349  0.02
Br4 0.1175 0.3678 0.7651  0.02
Br5 0.1329 0.8825 0.2349  0.02
Br6 0.6985 0.6985 0.6030  0.03
Rb1 0.2500 0.7500 0.5000  0.00
Rb2 0.0000 0.0000 0.0000  0.00
Fe1 0.7927 0.2927 0.4146  3.19
Fe2 0.7073 0.2073 0.5854  3.16

Output
- uncorrected formation energy (meV/atom) = -286.7
- crystal system = tetragonal

=====

Compound: Ac4Tb3TmBi8
Source: Alexandria
Functional: PBE
Structure: relaxed

a = 9.3671 Å, b = 9.3545 Å, c = 9.3673 Å
α = 120.04°, β = 120.00°, γ = 90.00°
Fractional coordinates of all 16 atoms:
Tm1 0.0000 0.5000 0.0000
Tb1 0.5000 0.5000 0.0000
Tb2 0.0000 0.5000 0.5000
Tb3 0.5000 0.5000 0.5000
Bi1 0.2559 0.2735 0.0147
Bi2 0.2573 0.2720 0.5147
Bi3 0.7441 0.7265 0.9853
Bi4 0.2412 0.7265 0.9853
Bi5 0.2413 0.7266 0.4826
Bi6 0.7427 0.7280 0.4853
Bi7 0.7587 0.2734 0.5174
Bi8 0.7588 0.2735 0.0147
Ac1 0.0000 0.0000 0.0000
Ac2 0.0000 0.0000 0.5000
Ac3 0.5000 0.0000 0.5000
Ac4 0.5000 0.0000 0.0000

Output
- crystal system = trigonal
- DFT formation energy (eV per atom) = -0.912

=====

Compound: Ca4Sc2Fe
Source: Alexandria
Functional: PBE
Structure: relaxed

a = 5.2823 Å, b = 5.2823 Å, c = 9.2660 Å
α = 73.44°, β = 73.44°, γ = 90.00°
Each line ends with the local moment (μB).
Fractional coordinates of all 7 atoms:
Ca1 0.5000 0.0000 0.0000  -0.07
Ca2 0.1735 0.1735 0.6531  -0.02
Ca3 0.8265 0.8265 0.3469  -0.02
Ca4 0.0000 0.5000 0.0000  -0.07
Sc1 0.3812 0.3812 0.2376  -0.17
Sc2 0.6188 0.6188 0.7624  -0.17
Fe1 0.0000 0.0000 0.0000  2.13

Output
- crystal system = tetragonal
- DFT formation energy (eV per atom) = 0.633

=====

Compound: TiZnBr3
Source: Alexandria
Functional: PBE
Structure: relaxed

a = 5.1936 Å, b = 5.1936 Å, c = 5.1936 Å
α = 90.00°, β = 90.00°, γ = 90.00°
Each line ends with the local moment (μB).
Fractional coordinates of all 5 atoms:
Br1 0.5000 0.0000 0.0000  -0.05
Br2 0.0000 0.0000 0.5000  -0.02
Br3 0.0000 0.5000 0.0000  -0.03
Zn1 0.5000 0.5000 0.5000  -0.07
Ti1 0.0000 0.0000 0.0000  1.07

Output
- energy relative to the lowest polymorph listed for this composition (meV per atom) = 0
- uncorrected formation energy (meV/atom) = -582.9
- crystal system = cubic